1.
The following is a PBE calculation of Tb3Si2Ni after structural relaxation, from the Alexandria database.

Results
The uncorrected formation energy is -16.843 kcal/mol of atoms.

Structure (CIF):
```
data_Tb3Si2Ni
_symmetry_space_group_name_H-M 'P n m a'
_symmetry_Int_Tables_number 62
_symmetry_space_group_name_Hall '-P 2ac 2n'
_cell_length_a 11.332
_cell_length_b 4.135
_cell_length_c 11.327
_cell_angle_alpha 90.00
_cell_angle_beta 90.00
_cell_angle_gamma 90.00
loop_
_atom_site_label
_atom_site_type_symbol
_atom_site_fract_x
_atom_site_fract_y
_atom_site_fract_z
_atom_site_occupancy
Tb1 Tb 0.059 0.250 0.125 1
Tb2 Tb 0.117 0.750 0.559 1
Tb3 Tb 0.213 0.250 0.804 1
Si1 Si 0.026 0.750 0.313 1
Si2 Si 0.197 0.750 0.994 1
Ni1 Ni 0.130 0.250 0.366 1
```

2.
The following is a PBE calculation of Tb2Si5Ni3 after structural relaxation, from the Alexandria database.

Results
The uncorrected formation energy is -18.368 kcal/mol of atoms.

Structure (CIF):
```
data_Tb2Si5Ni3
_symmetry_space_group_name_H-M 'I b a m'
_symmetry_Int_Tables_number 72
_symmetry_space_group_name_Hall '-I 2 2c'
_cell_length_a 9.606
_cell_length_b 11.158
_cell_length_c 5.668
_cell_angle_alpha 90.00
_cell_angle_beta 90.00
_cell_angle_gamma 90.00
loop_
_atom_site_label
_atom_site_type_symbol
_atom_site_fract_x
_atom_site_fract_y
_atom_site_fract_z
_atom_site_occupancy
Tb1 Tb 0.237 0.131 0.000 1
Si1 Si 0.000 0.000 0.250 1
Si2 Si 0.000 0.266 0.250 1
Si3 Si 0.151 0.392 0.000 1
Ni1 Ni 0.000 0.500 0.250 1
Ni2 Ni 0.113 0.134 0.500 1
```

3.
The following is a PBE calculation of Tb3Si5Ni6 after structural relaxation, from the Alexandria database.

Results
The uncorrected formation energy is -17.572 kcal/mol of atoms.

Structure (CIF):
```
data_Tb3Si5Ni6
_symmetry_space_group_name_H-M 'P m m n'
_symmetry_Int_Tables_number 59
_cell_length_a 3.910
_cell_length_b 11.760
_cell_length_c 9.386
_cell_angle_alpha 90.00
_cell_angle_beta 90.00
_cell_angle_gamma 90.00
loop_
_symmetry_equiv_pos_as_xyz
'x,y,z'
'-x,-y,-z'
'-x+1/2,-y+1/2,z'
'x+1/2,y+1/2,-z'
'x+1/2,-y,-z'
'-x+1/2,y,z'
'-x,y+1/2,-z'
'x,-y+1/2,z'
loop_
_atom_site_label
_atom_site_type_symbol
_atom_site_fract_x
_atom_site_fract_y
_atom_site_fract_z
_atom_site_occupancy
Tb1 Tb 0.250 0.087 0.248 1
Tb2 Tb 0.250 0.750 0.247 1
Si1 Si 0.250 0.079 0.857 1
Si2 Si 0.250 0.635 0.518 1
Si3 Si 0.250 0.750 0.884 1
Ni1 Ni 0.250 0.054 0.594 1
Ni2 Ni 0.250 0.250 0.500 1
Ni3 Ni 0.250 0.250 0.987 1
Ni4 Ni 0.250 0.580 0.007 1
```

4.
The following is a PBE calculation of TbSi2Ni2 after structural relaxation, from the Alexandria database.

Results
The uncorrected formation energy is -19.764 kcal/mol of atoms.

Structure (CIF):
```
data_TbSi2Ni2
_symmetry_space_group_name_H-M 'I 4/m m m'
_symmetry_Int_Tables_number 139
_symmetry_space_group_name_Hall '-I 4 2'
_cell_length_a 3.981
_cell_length_b 3.981
_cell_length_c 9.532
_cell_angle_alpha 90.00
_cell_angle_beta 90.00
_cell_angle_gamma 90.00
loop_
_atom_site_label
_atom_site_type_symbol
_atom_site_fract_x
_atom_site_fract_y
_atom_site_fract_z
_atom_site_occupancy
Tb1 Tb 0.000 0.000 0.000 1
Si1 Si 0.000 0.000 0.373 1
Ni1 Ni 0.000 0.500 0.250 1
```

Q: Which calculated total energy values were calculated for the entries above? A: -5.817 -6.168 -6.169 -6.265, in eV per atom.